SrV2HgO6, optimized geometry, DFT GGA+U; magnetization = 0.00 μB/atom; DOS at the Fermi energy = 0.0 states/eV/f.u.; total DFT energy (no corrections) = -6.616 eV/atom
1.0
-2.0010 4.2877 3.9444
2.8204 -2.9241 6.6706
6.0354 4.9508 -0.2587
V O Sr Hg
4 12 2 2
Direct
0.6995 0.6402 0.7767
0.1995 0.7767 0.6402
0.3005 0.3598 0.2233
0.8005 0.2233 0.3598
0.7309 0.4510 0.8802
0.5318 0.3546 0.3421
0.2691 0.5490 0.1198
0.1247 0.9159 0.8149
0.2309 0.8802 0.4510
0.7691 0.1198 0.5490
0.8753 0.0841 0.1851
0.6247 0.8149 0.9159
0.9682 0.6579 0.6454
0.4682 0.6454 0.6579
0.3753 0.1851 0.0841
0.0318 0.3421 0.3546
0.7500 0.1228 0.8772
0.2500 0.8772 0.1228
0.7500 0.7118 0.2882
0.2500 0.2882 0.7118